(1)
## LiSbAu2 (GGA-PBE)

Data for a relaxed LiSbAu2 crystal.

DFT total energy = -13.72 eV for the cell shown
N(E_F) = 1.1 states/eV per cell
Formation energy from raw total energies = -0.282 eV per atom
Space group = Cm (8)
Crystal system = monoclinic

a b c (Å): 4.9878 4.9878 4.4068
angles (deg): 106.64 106.64 47.61
With the nearest neighbours (Å) after each atom.
Positions (direct):
Li  0.0000  0.0000  0.0000  5 Au 2.75-2.89, 1 Sb 2.90
Sb  0.2372  0.2372  0.6885  7 Au 2.79-3.04, 3 Li 2.90-3.10
Au  0.4915  0.4915  0.4660  3 Sb 2.79-2.94, 4 Li 2.89-3.08, 3 Au 2.91-3.05
Au  0.7350  0.7350  0.1707  3 Li 2.75-2.87, 3 Au 2.91-3.05, 4 Sb 2.93-3.04

***

(2)
## CeTmSbP (GGA-PBE)

Data for a relaxed CeTmSbP crystal.

DFT total energy = -25.02 eV for the cell shown
N(E_F) = 5.4 states/eV per cell
Formation energy from raw total energies = -1.269 eV per atom
Space group = R3m (160)
Crystal system = trigonal

a b c (Å): 7.3743 7.3743 7.3743
angles (deg): 32.97 32.97 32.97
With the nearest neighbours (Å) after each atom.
Positions (direct):
Ce  0.0000  0.0000  0.0000  3 P 2.91, 3 Sb 3.12
Tm  0.4826  0.4826  0.4826  3 P 2.84, 3 Sb 3.05
Sb  0.2387  0.2387  0.2387  3 Tm 3.05, 3 Ce 3.12
P  0.7442  0.7442  0.7442  3 Tm 2.84, 3 Ce 2.91